No. 1
Entry from the Alexandria database: a relaxed structure of Ce4Pd2O (GGA-PBE).

## Properties
**Formation energy without anion corrections**: -1.048 eV/atom

Unit cell a=4.7622 b=4.7622 c=14.7735 alpha=90.00 beta=90.00 gamma=90.00
Last column: nearest neighbours and their distance in Å.
Space group I4/mmm (No. 139)
Inequivalent atoms, fractional coordinates:
Ce 0.0000 0.0000 0.1824 [4 per cell]  1 Pd 2.68, 1 O 2.69
Ce 0.0000 0.5000 0.0000 [4 per cell]  2 O 2.38
Pd 0.0000 0.0000 0.3638 [4 per cell]  1 Ce 2.68
O 0.0000 0.0000 0.0000 [2 per cell]  4 Ce 2.38

***

No. 2
Entry from the Alexandria database: a relaxed structure of CePdO2 (GGA-PBE).

## Properties
**Formation energy without anion corrections**: -1.934 eV/atom

Unit cell a=4.7052 b=4.7052 c=8.5536 alpha=90.00 beta=90.00 gamma=120.00
Last column: nearest neighbours and their distance in Å.
Space group R-3m (No. 166, hexagonal axes)
Inequivalent atoms, fractional coordinates:
Ce 0.0000 0.0000 0.0000 [3 per cell]  2 O 2.23
Pd 0.0000 0.0000 0.5000 [3 per cell]  2 O 2.05
O 0.0000 0.0000 0.2603 [6 per cell]  1 Pd 2.05, 1 Ce 2.23

***

No. 3
Entry from the Alexandria database: a relaxed structure of CePmPd2O8 (GGA-PBE).

## Properties
**Formation energy without anion corrections**: -1.381 eV/atom

Unit cell a=5.3143 b=5.3143 c=10.5227 alpha=90.00 beta=90.00 gamma=90.00
Last column: nearest neighbours and their distance in Å.
Space group I-4m2 (No. 119)
Inequivalent atoms, fractional coordinates:
Ce 0.0000 0.0000 0.0000 [2 per cell]  8 O 2.35
Pm 0.0000 0.5000 0.7500 [2 per cell]  8 O 2.39
Pd 0.0000 0.0000 0.5000 [2 per cell]  8 O 2.22
Pd 0.0000 0.5000 0.2500 [2 per cell]  8 O 2.22
O 0.2256 0.2537 0.3770 [16 per cell]  2 Pd 2.22, 1 Ce 2.35, 1 Pm 2.39, 1 O 2.40

***

No. 4
Entry from the Alexandria database: a relaxed structure of Rb4Ce3PdO8 (GGA-PBE).

## Properties
**Formation energy without anion corrections**: -2.226 eV/atom

Unit cell a=12.8219 b=7.0614 c=7.6528 alpha=90.00 beta=121.27 gamma=90.00
Last column: nearest neighbours and their distance in Å.
Space group C2/m (No. 12)
Inequivalent atoms, fractional coordinates:
Rb 0.0000 0.0000 0.0000 [2 per cell]  6 O 2.70-2.85
Rb 0.0000 0.5000 0.0000 [2 per cell]  6 O 2.98-3.08
Rb 0.2500 0.2500 0.0000 [4 per cell]  6 O 2.88-3.19
Ce 0.0000 0.0000 0.5000 [2 per cell]  6 O 2.29-2.46
Ce 0.2500 0.2500 0.5000 [4 per cell]  6 O 2.26-2.38
Pd 0.0000 0.5000 0.5000 [2 per cell]  4 O 2.46
O 0.0357 0.2343 0.3299 [8 per cell]  2 Ce 2.29-2.35, 1 Pd 2.46
O 0.2243 0.0000 0.6822 [4 per cell]  3 Ce 2.38-2.46
O 0.2360 0.0000 0.3044 [4 per cell]  2 Ce 2.26

***

No. 5
Entry from the Alexandria database: a relaxed structure of RbCePdO4 (GGA-PBE).

## Properties
**Formation energy without anion corrections**: -1.745 eV/atom

Unit cell a=6.1884 b=7.0359 c=11.9096 alpha=90.00 beta=90.00 gamma=90.00
Last column: nearest neighbours and their distance in Å.
Space group Imma (No. 74)
Inequivalent atoms, fractional coordinates:
Rb 0.0000 0.2500 0.1693 [4 per cell]  4 O 2.60-2.70
Ce 0.0000 0.0000 0.5000 [4 per cell]  4 O 2.19
Pd 0.2500 0.2500 0.7500 [4 per cell]  4 O 2.04
O 0.0000 0.0739 0.7089 [8 per cell]  2 Pd 2.04
O 0.2099 0.2500 0.4887 [8 per cell]  2 Ce 2.19

***

No. 6
Entry from the Alexandria database: a relaxed structure of CePdSe2O (GGA-PBE).

## Properties
**Formation energy without anion corrections**: -1.678 eV/atom

Unit cell a=3.8452 b=3.8452 c=13.3206 alpha=90.00 beta=90.00 gamma=90.00
Last column: nearest neighbours and their distance in Å.
Space group P4/nmm (No. 129, origin choice 2)
Inequivalent atoms, fractional coordinates:
Ce 0.2500 0.2500 0.0979 [2 per cell]  4 O 2.32
Pd 0.2500 0.2500 0.6021 [2 per cell]  6 Se 2.49-2.73
Se 0.2500 0.2500 0.4150 [2 per cell]  5 Pd 2.49-2.73
Se 0.2500 0.2500 0.7911 [2 per cell]  1 Pd 2.52
O 0.2500 0.7500 0.0000 [2 per cell]  4 Ce 2.32